MnCrRe2: relaxed, GGA-PBE.

Geometry as POSCAR:
```
MnCrRe2
1.0
-0.612 3.988 1.127
-0.295 -0.748 2.487
4.799 0.292 1.574
Cr Re Mn
1 2 1
Direct
0.500 0.250 0.250
0.000 0.488 0.500
0.000 0.012 0.000
0.500 0.750 0.750
```

Mass density (Mg/m³): 14.59
Excess energy over the best structure of this formula in the dataset (meV/atom): 32
Energy of formation (eV per atom): 0.111

***

Mn2CrRe: relaxed, GGA-PBE.

Geometry as POSCAR:
```
Mn2CrRe
1.0
4.381 0.162 0.000
-1.249 4.203 0.000
0.000 0.000 2.711
Cr Mn Re
1 2 1
Direct
0.000 0.500 0.500
0.500 0.500 0.000
0.000 0.000 0.000
0.500 0.000 0.500
```

Mass density (Mg/m³): 11.45
Energy of formation (eV per atom): 0.134

***

Mn2CrRe: relaxed, GGA-PBE.

Geometry as POSCAR:
```
Mn2CrRe
1.0
3.433 0.000 0.000
0.000 3.433 0.000
1.716 1.716 9.032
Re Mn Cr
2 4 2
Direct
0.000 0.000 0.000
0.750 0.250 0.500
0.561 0.125 0.250
0.189 0.625 0.250
0.875 0.811 0.750
0.375 0.439 0.750
0.500 0.500 0.000
0.250 0.750 0.500
```

Mass density (Mg/m³): 10.86
Energy of formation (eV per atom): 0.760

***

Mn2CrRe: relaxed, GGA-PBE.

Geometry as POSCAR:
```
Mn2CrRe
1.0
4.409 -0.131 0.000
1.332 4.205 0.000
-2.871 -2.037 2.658
Re Cr Mn
1 1 2
Direct
0.250 0.750 0.500
0.750 0.250 0.500
0.000 0.000 0.000
0.500 0.500 0.000
```

Mass density (Mg/m³): 11.62
Energy of formation (eV per atom): 0.123